Record 1
VASP calculation (GGA-PBE) on PaBiTe4 after structural relaxation.

Cell: 7.6060 4.4253 7.8544 Å, 90.00 111.71 90.00°
With the nearest neighbours (Å) after each atom.
Atoms (fractional coordinates):
1 Pa 0.0000 0.0000 0.0000  6 Te 2.99-3.04
2 Bi 0.5000 0.5000 0.0000  6 Te 3.16-3.17
3 Te 0.2233 0.0000 0.7567  1 Pa 2.99, 2 Bi 3.16
4 Te 0.2429 0.5000 0.2391  2 Pa 3.04, 1 Bi 3.17
5 Te 0.7571 0.5000 0.7609  2 Pa 3.04, 1 Bi 3.17
6 Te 0.7767 0.0000 0.2433  1 Pa 2.99, 2 Bi 3.16

**Calculated volume**: 245.61 Å³ per cell
**Formation energy from raw total energies**: -12.57 kcal/mol of atoms
**Theoretical density**: 6.43 g/cm3
**Offset from the most stable computed form**: 0.000 eV/f.u.
**Space-group type**: No. 10
**Total moment**: 0.00 μB per cell



Record 2
VASP calculation (GGA-PBE) on YMnTc2 after structural relaxation.

Cell: 6.3376 6.3376 6.3376 Å, 90.00 90.00 90.00°
With the nearest neighbours (Å) after each atom.
Atoms (fractional coordinates):
1 Y 0.0000 0.0000 0.0000  8 Tc 2.74
2 Y 0.0000 0.5000 0.5000  8 Tc 2.74
3 Y 0.5000 0.0000 0.5000  8 Tc 2.74
4 Y 0.5000 0.5000 0.0000  8 Tc 2.74
5 Mn 0.0000 0.0000 0.5000  8 Tc 2.74
6 Mn 0.0000 0.5000 0.0000  8 Tc 2.74
7 Mn 0.5000 0.0000 0.0000  8 Tc 2.74
8 Mn 0.5000 0.5000 0.5000  8 Tc 2.74
9 Tc 0.2500 0.2500 0.2500  4 Mn 2.74, 4 Y 2.74
10 Tc 0.2500 0.2500 0.7500  4 Mn 2.74, 4 Y 2.74
11 Tc 0.2500 0.7500 0.2500  4 Mn 2.74, 4 Y 2.74
12 Tc 0.2500 0.7500 0.7500  4 Mn 2.74, 4 Y 2.74
13 Tc 0.7500 0.2500 0.2500  4 Mn 2.74, 4 Y 2.74
14 Tc 0.7500 0.2500 0.7500  4 Mn 2.74, 4 Y 2.74
15 Tc 0.7500 0.7500 0.2500  4 Mn 2.74, 4 Y 2.74
16 Tc 0.7500 0.7500 0.7500  4 Mn 2.74, 4 Y 2.74

**Calculated volume**: 254.55 Å³ per cell
**Theoretical density**: 8.87 g/cm3
**Offset from the most stable computed form**: 0.999 eV/f.u.
**Space-group type**: No. 225
**Formation energy**: 0.41 eV per atom
**Total moment**: 0.00 μB per cell



Record 3
VASP calculation (GGA-PBE) on CeYIr2 after structural relaxation.

Cell: 3.4623 3.4623 6.9831 Å, 90.00 90.00 90.00°
With the nearest neighbours (Å) after each atom.
Atoms (fractional coordinates):
1 Ce 0.0000 0.0000 0.0000  8 Ir 2.98
2 Y 0.0000 0.0000 0.5000  8 Ir 3.04
3 Ir 0.5000 0.5000 0.2429  4 Ce 2.98, 4 Y 3.04
4 Ir 0.5000 0.5000 0.7571  4 Ce 2.98, 4 Y 3.04

**Calculated volume**: 83.71 Å³ per cell
**Theoretical density**: 12.17 g/cm3
**Space-group type**: No. 123
**Formation energy**: -0.73 eV per atom
**Total moment**: 0.00 μB per cell